(1)
Entry from the Alexandria database: a relaxed NaMg2InTe4 crystal (GGA-PBE).

Values from the calculation:
- Calculated total energy: -3.2014 eV/atom
- Magnetization: 0.000 μB per atom

a b c (Å): 7.665 8.045 9.581
angles (deg): 90.00 90.00 90.00
Sites, in units of the cell vectors:
Na 0.999 0.158 0.500
Na 0.499 0.842 0.000
Mg 0.499 0.336 0.253
Mg 0.499 0.336 0.747
Mg 0.999 0.664 0.753
Mg 0.999 0.664 0.247
In 0.500 0.821 0.500
In 0.000 0.179 0.000
Te 0.370 0.202 0.000
Te 0.870 0.798 0.500
Te 0.400 0.162 0.500
Te 0.900 0.838 0.000
Te 0.367 0.662 0.740
Te 0.867 0.338 0.240
Te 0.867 0.338 0.760
Te 0.367 0.662 0.260

(2)
Entry from the Alexandria database: a relaxed CrTeBr2 crystal (GGA-PBE).

Values from the calculation:
- Relative energy among the computed polymorphs: 763 meV per atom
- Calculated total energy: -3.5781 eV/atom
- Magnetization: 1.012 μB per atom

a b c (Å): 4.861 4.861 4.358
angles (deg): 90.00 90.00 90.00
Each line ends with the local moment (μB).
Sites, in units of the cell vectors:
Br 0.000 0.000 0.000  -0.06
Br 0.500 0.500 0.000  -0.06
Cr 0.500 0.000 0.500  4.09
Te 0.000 0.500 0.500  -0.23

(3)
Entry from the Alexandria database: a relaxed LaSc2Cr crystal (GGA-PBE).

Values from the calculation:
- Relative energy among the computed polymorphs: 93 meV per atom
- ΔE_f: 0.2734 eV per atom
- Calculated total energy: -6.5301 eV/atom
- Magnetization: 0.784 μB per atom

a b c (Å): 6.097 6.097 5.185
angles (deg): 64.79 64.79 34.39
Each line ends with the local moment (μB).
Sites, in units of the cell vectors:
Cr 0.509 0.509 0.490  3.18
La 0.781 0.781 0.719  -0.04
Sc 0.996 0.996 0.004  -0.10
Sc 0.214 0.214 0.286  -0.07

(4)
Entry from the Alexandria database: a relaxed SiTeAu2 crystal (GGA-PBE).

Values from the calculation:
- Relative energy among the computed polymorphs: 86 meV per atom
- Calculated total energy: -3.6373 eV/atom
- Magnetization: 0.000 μB per atom

a b c (Å): 3.787 3.081 7.273
angles (deg): 90.08 90.00 90.00
Sites, in units of the cell vectors:
Au 0.000 0.749 0.044
Au 0.500 0.251 0.276
Si 0.000 0.751 0.421
Te 0.500 0.749 0.758

(5)
Entry from the Alexandria database: a relaxed U3S5 crystal (GGA-PBE).

Values from the calculation:
- Relative energy among the computed polymorphs: 0 meV per atom
- Calculated total energy: -8.2210 eV/atom
- Magnetization: 0.966 μB per atom

a b c (Å): 6.439 7.366 8.005
angles (deg): 84.44 66.28 76.07
Each line ends with the local moment (μB).
Sites, in units of the cell vectors:
U 0.654 0.500 0.190  -2.43
U 0.745 0.000 0.010  -2.38
U 0.066 0.202 0.500  -2.54
U 0.933 0.799 0.500  -2.54
U 0.254 0.000 0.990  -2.38
U 0.345 0.500 0.810  -2.43
S 0.164 0.877 0.714  0.08
S 0.986 0.300 0.877  0.08
S 0.262 0.483 0.500  0.08
S 0.378 0.877 0.286  0.08
S 0.636 0.700 0.877  0.08
S 0.363 0.300 0.123  0.08
S 0.621 0.124 0.714  0.08
S 0.737 0.517 0.500  0.08
S 0.013 0.700 0.123  0.08
S 0.835 0.124 0.286  0.08

(6)
Entry from the Alexandria database: a relaxed Ta2AlMo crystal (GGA-PBE).

Values from the calculation:
- ΔE_f: -0.1674 eV per atom
- Calculated total energy: -9.7371 eV/atom
- Magnetization: 0.000 μB per atom

a b c (Å): 3.335 3.335 6.088
angles (deg): 90.00 90.00 90.00
Sites, in units of the cell vectors:
Mo 0.500 0.500 0.750
Al 0.500 0.500 0.250
Ta 0.000 0.000 0.995
Ta 0.000 0.000 0.505

(7)
Entry from the Alexandria database: a relaxed Nd2ErNi crystal (GGA-PBE).

Values from the calculation:
- Relative energy among the computed polymorphs: 0 meV per atom
- ΔE_f: -0.1405 eV per atom
- Calculated total energy: -5.1105 eV/atom
- Magnetization: 0.000 μB per atom

a b c (Å): 4.947 3.493 8.879
angles (deg): 90.05 90.01 44.87
Sites, in units of the cell vectors:
Nd 0.878 0.999 0.537
Nd 0.378 0.999 0.214
Er 0.378 0.000 0.847
Ni 0.877 0.000 0.012

(8)
Entry from the Alexandria database: a relaxed La8Ir2Ru crystal (GGA-PBE).

Values from the calculation:
- ΔE_f: -0.3831 eV per atom
- Calculated total energy: -6.4210 eV/atom
- Magnetization: 0.000 μB per atom

a b c (Å): 6.793 7.738 7.738
angles (deg): 70.61 76.46 76.46
Sites, in units of the cell vectors:
La 0.253 0.645 0.062
La 0.747 0.938 0.355
La 0.255 0.137 0.137
La 0.745 0.863 0.863
La 0.253 0.062 0.645
La 0.747 0.355 0.938
La 0.770 0.419 0.419
La 0.230 0.581 0.581
Ir 0.459 0.312 0.312
Ir 0.541 0.688 0.688
Ru 0.000 0.000 0.000